Density functional theory data (GGA-PBE) for a relaxed structure of LaNd2Ho4Th.

Density of states at the Fermi level   10.705 states/eV per cell
Formation energy   0.009 eV per atom
Total moment   0.00 μB per formula unit
Total energy   -5.016 eV/atom

Cell and atoms, written as POSCAR:
```
LaNd2Ho4Th
1.0
3.6135 0.0000 0.0000
0.0000 6.1034 1.4487
0.0000 3.4497 12.6932
La Nd Ho Th
1 2 4 1
Cartesian
1.8068 3.0517 0.7243
0.0000 3.4497 12.6932
1.8068 1.7249 6.3466
0.0001 8.2173 10.8267
3.6135 1.3359 3.3152
1.8068 4.4266 4.0880
1.8068 5.1265 10.0539
0.0000 4.7766 7.0710
```